[1]
The following is a PBE-GGA calculation of a geometry-optimized TaBiO3 structure, from the Open Quantum Materials Database.

Computed properties:
- total energy (eV for the cell shown) = -117.934

Cell and atoms, written as POSCAR:
```
TaBiO3
1.0
5.726 0.000 0.000
-2.863 4.959 0.000
0.000 0.000 7.072
Ta Bi O
3 3 9
Direct
0.000 0.000 0.000
0.333 0.667 0.667
0.667 0.333 0.333
0.000 0.000 0.500
0.333 0.667 0.167
0.667 0.333 0.833
0.000 0.500 0.500
0.167 0.333 0.833
0.167 0.833 0.833
0.333 0.167 0.167
0.500 0.000 0.500
0.500 0.500 0.500
0.667 0.833 0.833
0.833 0.167 0.167
0.833 0.667 0.167
```

[2]
The following is a PBE-GGA calculation of a geometry-optimized SrHfRe structure, from the Open Quantum Materials Database.

Computed properties:
- total energy (eV for the cell shown) = -69.178

Cell and atoms, written as POSCAR:
```
SrHfRe
1.0
6.741 0.000 0.000
0.000 6.741 0.000
0.000 0.000 6.741
Sr Hf Re
4 4 4
Direct
0.000 0.000 0.000
0.000 0.500 0.500
0.500 0.000 0.500
0.500 0.500 0.000
0.250 0.250 0.750
0.250 0.750 0.250
0.750 0.250 0.250
0.750 0.750 0.750
0.250 0.250 0.250
0.250 0.750 0.750
0.750 0.250 0.750
0.750 0.750 0.250
```

[3]
The following is a PBE-GGA calculation of a geometry-optimized ZrZnFeB structure, from the Open Quantum Materials Database.

Computed properties:
- total energy (eV for the cell shown) = -92.096

Cell and atoms, written as POSCAR:
```
ZrZnFeB
1.0
5.941 0.000 0.000
0.000 5.941 0.000
0.000 0.000 5.941
Zr Zn Fe B
4 4 4 4
Direct
0.000 0.000 0.000
0.000 0.500 0.500
0.500 0.000 0.500
0.500 0.500 0.000
0.250 0.250 0.250
0.250 0.750 0.750
0.750 0.250 0.750
0.750 0.750 0.250
0.250 0.250 0.750
0.250 0.750 0.250
0.750 0.250 0.250
0.750 0.750 0.750
0.000 0.000 0.500
0.000 0.500 0.000
0.500 0.000 0.000
0.500 0.500 0.500
```

[4]
The following is a PBE-GGA calculation of a geometry-optimized GdYCu2Sb4 structure, from the Open Quantum Materials Database.

Computed properties:
- total energy (eV for the cell shown) = -40.098

Cell and atoms, written as POSCAR:
```
GdYCu2Sb4
1.0
4.313 0.000 0.000
0.000 4.313 0.000
0.000 0.000 9.888
Gd Y Cu Sb
1 1 2 4
Direct
0.000 0.000 0.000
0.500 0.500 0.501
0.000 0.500 0.251
0.500 0.000 0.251
0.000 0.000 0.411
0.000 0.500 0.751
0.500 0.000 0.751
0.500 0.500 0.091
```

[5]
The following is a PBE-GGA calculation of a geometry-optimized Cu4Ag structure, from the Open Quantum Materials Database.

Computed properties:
- formation enthalpy at 0 K (eV per atom) = 0.06

Cell and atoms, written as POSCAR:
```
Cu4Ag
1.0
6.522 0.000 0.000
0.000 2.703 0.000
-1.409 0.000 7.406
Cu Ag
8 2
Direct
0.057 0.250 0.144
0.142 0.750 0.447
0.217 0.250 0.741
0.338 0.750 0.018
0.662 0.250 0.982
0.783 0.750 0.259
0.858 0.250 0.553
0.943 0.750 0.856
0.454 0.250 0.329
0.546 0.750 0.671
```

[6]
The following is a PBE-GGA calculation of a geometry-optimized Nb2ReB structure, from the Open Quantum Materials Database.

Computed properties:
- total energy (eV for the cell shown) = -149.563

Cell and atoms, written as POSCAR:
```
Nb2ReB
1.0
6.148 0.000 0.000
0.000 6.148 0.000
0.000 0.000 6.148
Nb Re B
8 4 4
Direct
0.000 0.000 0.000
0.000 0.500 0.500
0.250 0.250 0.250
0.250 0.750 0.750
0.500 0.000 0.500
0.500 0.500 0.000
0.750 0.250 0.750
0.750 0.750 0.250
0.250 0.250 0.750
0.250 0.750 0.250
0.750 0.250 0.250
0.750 0.750 0.750
0.000 0.000 0.500
0.000 0.500 0.000
0.500 0.000 0.000
0.500 0.500 0.500
```

[7]
The following is a PBE-GGA calculation of a geometry-optimized LaTb2Mg3Pt3 structure, from the Open Quantum Materials Database.

Computed properties:
- total energy (eV for the cell shown) = -45.479

Cell and atoms, written as POSCAR:
```
LaTb2Mg3Pt3
1.0
4.103 0.000 0.000
0.000 6.427 3.752
0.000 -6.427 3.752
La Tb Mg Pt
1 2 3 3
Direct
0.000 0.000 0.000
0.000 0.417 0.826
0.000 0.826 0.417
0.500 0.175 0.421
0.500 0.421 0.175
0.500 0.655 0.655
0.000 0.424 0.424
0.500 0.086 0.747
0.500 0.747 0.086
```

[8]
The following is a PBE-GGA calculation of a geometry-optimized HoEr2Tl3CuNi2 structure, from the Open Quantum Materials Database.

Computed properties:
- total energy (eV for the cell shown) = -38.618

Cell and atoms, written as POSCAR:
```
HoEr2Tl3CuNi2
1.0
3.769 0.000 0.000
0.000 6.543 3.776
0.000 -6.543 3.776
Ho Er Tl Cu Ni
1 2 3 1 2
Direct
0.000 0.000 0.000
0.000 0.410 0.820
0.000 0.820 0.410
0.500 0.144 0.410
0.500 0.410 0.144
0.500 0.675 0.675
0.000 0.410 0.410
0.500 0.077 0.743
0.500 0.743 0.077
```

[9]
The following is a PBE-GGA calculation of a geometry-optimized Cs2AgSe4Br structure, from the Open Quantum Materials Database.

Computed properties:
- total energy (eV for the cell shown) = -49.488

Cell and atoms, written as POSCAR:
```
Cs2AgSe4Br
1.0
0.000 6.045 11.150
3.918 0.000 11.150
3.918 6.045 0.000
Cs Ag Se Br
4 2 8 2
Direct
0.056 0.056 0.694
0.306 0.306 0.944
0.694 0.694 0.056
0.944 0.944 0.306
0.375 0.375 0.375
0.625 0.625 0.625
0.020 0.389 0.468
0.376 0.532 0.611
0.389 0.020 0.624
0.468 0.624 0.020
0.532 0.376 0.980
0.611 0.980 0.376
0.624 0.468 0.389
0.980 0.611 0.532
0.125 0.125 0.125
0.875 0.875 0.875
```

[10]
The following is a PBE-GGA calculation of a geometry-optimized Lu2Sc4Au3C3 structure, from the Open Quantum Materials Database.

Computed properties:
- total energy (eV for the cell shown) = -158.174

Cell and atoms, written as POSCAR:
```
Lu2Sc4Au3C3
1.0
5.094 -2.937 0.000
5.094 2.937 0.000
-3.464 0.000 14.067
Lu Sc Au C
4 8 6 6
Direct
0.035 0.869 0.603
0.131 0.965 0.897
0.869 0.035 0.103
0.965 0.131 0.397
0.194 0.359 0.082
0.303 0.475 0.418
0.359 0.194 0.582
0.475 0.303 0.918
0.525 0.697 0.082
0.641 0.806 0.418
0.697 0.525 0.582
0.806 0.641 0.918
0.086 0.394 0.750
0.394 0.086 0.250
0.434 0.566 0.250
0.566 0.434 0.750
0.606 0.914 0.750
0.914 0.606 0.250
0.000 0.500 0.500
0.166 0.668 0.000
0.332 0.834 0.500
0.500 0.000 0.000
0.668 0.166 0.500
0.834 0.332 0.000
```

[11]
The following is a PBE-GGA calculation of a geometry-optimized TaCuSnOs structure, from the Open Quantum Materials Database.

Computed properties:
- total energy (eV for the cell shown) = -117.201

Cell and atoms, written as POSCAR:
```
TaCuSnOs
1.0
6.366 0.000 0.000
0.000 6.366 0.000
0.000 0.000 6.366
Ta Cu Sn Os
4 4 4 4
Direct
0.000 0.000 0.000
0.000 0.500 0.500
0.500 0.000 0.500
0.500 0.500 0.000
0.250 0.250 0.750
0.250 0.750 0.250
0.750 0.250 0.250
0.750 0.750 0.750
0.250 0.250 0.250
0.250 0.750 0.750
0.750 0.250 0.750
0.750 0.750 0.250
0.000 0.000 0.500
0.000 0.500 0.000
0.500 0.000 0.000
0.500 0.500 0.500
```

[12]
The following is a PBE-GGA calculation of a geometry-optimized Sc4SnAuC2 structure, from the Open Quantum Materials Database.

Computed properties:
- total energy (eV for the cell shown) = -56.205

Cell and atoms, written as POSCAR:
```
Sc4SnAuC2
1.0
3.393 0.000 0.000
-1.696 2.938 0.000
0.000 0.000 14.156
Sc Sn Au C
4 1 1 2
Direct
0.000 0.000 0.153
0.000 0.000 0.847
0.333 0.667 0.324
0.333 0.667 0.676
0.000 0.000 0.500
0.333 0.667 0.000
0.667 0.333 0.238
0.667 0.333 0.762
```

[13]
The following is a PBE-GGA calculation of a geometry-optimized LiZrO3 structure, from the Open Quantum Materials Database.

Computed properties:
- total energy (eV for the cell shown) = -73.431

Cell and atoms, written as POSCAR:
```
LiZrO3
1.0
2.820 -4.650 0.000
2.820 4.650 0.000
-2.117 0.000 4.762
Li Zr O
2 2 6
Direct
0.000 0.000 0.000
0.634 0.366 0.000
0.450 0.550 0.500
0.791 0.209 0.500
0.024 0.391 0.253
0.218 0.309 0.732
0.424 0.179 0.239
0.609 0.976 0.747
0.691 0.782 0.268
0.821 0.576 0.761
```

[14]
The following is a PBE-GGA calculation of a geometry-optimized MoAs2Au structure, from the Open Quantum Materials Database.

Computed properties:
- total energy (eV for the cell shown) = -84.654

Cell and atoms, written as POSCAR:
```
MoAs2Au
1.0
6.536 0.000 0.000
0.000 6.536 0.000
0.000 0.000 6.536
Mo As Au
4 8 4
Direct
0.000 0.000 0.000
0.000 0.500 0.500
0.500 0.000 0.500
0.500 0.500 0.000
0.000 0.000 0.500
0.000 0.500 0.000
0.250 0.250 0.250
0.250 0.750 0.750
0.500 0.000 0.000
0.500 0.500 0.500
0.750 0.250 0.750
0.750 0.750 0.250
0.250 0.250 0.750
0.250 0.750 0.250
0.750 0.250 0.250
0.750 0.750 0.750
```

[15]
The following is a PBE-GGA calculation of a geometry-optimized NpRe structure, from the Open Quantum Materials Database.

Computed properties:
- formation enthalpy at 0 K (eV per atom) = 1.70

Cell and atoms, written as POSCAR:
```
NpRe
1.0
5.865 0.000 0.000
0.000 5.865 0.000
0.000 0.000 5.865
Np Re
4 4
Direct
0.000 0.000 0.000
0.000 0.500 0.500
0.500 0.000 0.500
0.500 0.500 0.000
0.250 0.250 0.750
0.250 0.750 0.250
0.750 0.250 0.250
0.750 0.750 0.750
```

[16]
The following is a PBE-GGA calculation of a geometry-optimized ThReTc structure, from the Open Quantum Materials Database.

Computed properties:
- formation enthalpy at 0 K (eV per atom) = 1.22

Cell and atoms, written as POSCAR:
```
ThReTc
1.0
6.356 0.000 0.000
0.000 6.356 0.000
0.000 0.000 6.356
Th Re Tc
4 4 4
Direct
0.000 0.000 0.000
0.000 0.500 0.500
0.500 0.000 0.500
0.500 0.500 0.000
0.250 0.250 0.750
0.250 0.750 0.250
0.750 0.250 0.250
0.750 0.750 0.750
0.250 0.250 0.250
0.250 0.750 0.750
0.750 0.250 0.750
0.750 0.750 0.250
```

[17]
The following is a PBE-GGA calculation of a geometry-optimized TbDyBC2 structure, from the Open Quantum Materials Database.

Computed properties:
- total energy (eV for the cell shown) = -73.133

Cell and atoms, written as POSCAR:
```
TbDyBC2
1.0
5.144 0.000 0.000
0.000 5.144 0.000
-2.491 0.000 5.480
Tb Dy B C
2 2 2 4
Direct
0.000 0.000 0.000
0.500 0.500 0.000
0.198 0.500 0.408
0.698 0.000 0.408
0.350 0.000 0.705
0.850 0.500 0.705
0.211 0.000 0.433
0.488 0.000 0.977
0.711 0.500 0.433
0.988 0.500 0.977
```

The following density values (in g/cm³) correspond, in order, to the records above: 10.9 9.8 7.1 7.8 9.2 10.9 9.4 11.5 4.8 9.1 14.2 6.1 3.9 10.5 13.9 13.4 8.2.